TbYGaRh after structural relaxation. Source: the Alexandria database, functional PBE-GGA.

Structure (extended XYZ):
```
4
Lattice="4.3623 0.0000 0.0000 0.0000 1.9624 5.3278 0.0000 -1.9624 5.3278" Properties=species:S:1:pos:R:3 pbc="T T T"
Tb 0.0000 0.0000 0.0000
Y 2.1812 0.0000 7.6530
Ga 2.1812 0.0000 4.5795
Rh 0.0000 0.0000 3.0544
```

Output
As for the theoretical density: 7.654 g/cm3. Its density of states at the Fermi level is 2.94 states/eV/f.u. As for the space-group type: No. 38. The total DFT energy (no corrections) comes out at -6.101 eV/atom.